Entry 1:
Density functional theory data (GGA-PBEsol) for an optimized crystal structure of YHfSc3.

Values from the calculation:
Calculated volume   125.4 Å³/f.u.
E_form   1083 meV per atom
ρ   5.33 g/cm3

Cell lengths 5.0048, 5.0048, 5.0048 Å; angles 90.00, 90.00, 90.00 degrees
With the nearest neighbours (Å) after each atom.
Element x y z (fractional)
Y: 0.0000 0.0000 0.0000  6 Sc 2.50
Sc: 0.0000 0.5000 0.0000  2 Y 2.50
Sc: 0.0000 0.0000 0.5000  2 Y 2.50
Sc: 0.5000 0.0000 0.0000  2 Y 2.50
Hf: 0.5000 0.5000 0.5000  12 Sc 3.54

=====

Entry 2:
Density functional theory data (GGA-PBEsol) for an optimized crystal structure of CdAu.

Values from the calculation:
Calculated volume   36.5 Å³/f.u.
E_form   -119 meV per atom
ρ   14.06 g/cm3

Cell lengths 3.2028, 4.7385, 4.8166 Å; angles 90.00, 90.00, 90.00 degrees
With the nearest neighbours (Å) after each atom.
Element x y z (fractional)
Au: 0.0000 0.0000 0.5826  6 Cd 2.87-2.90, 6 Au 2.97-3.20
Au: 0.5000 0.5000 0.4174  6 Cd 2.87-2.90, 6 Au 2.97-3.20
Cd: 0.0000 0.5000 0.9189  6 Au 2.87-2.90, 6 Cd 2.96-3.20
Cd: 0.5000 0.0000 0.0811  6 Au 2.87-2.90, 6 Cd 2.96-3.20

=====

Entry 3:
Density functional theory data (GGA-PBEsol) for an optimized crystal structure of BeMoS2Cl.

Values from the calculation:
Calculated volume   79.4 Å³/f.u.
Raw formation energy   1.69 eV/f.u.
ρ   4.28 g/cm3

Cell lengths 4.0430, 4.4307, 4.4307 Å; angles 90.00, 90.00, 90.00 degrees
With the nearest neighbours (Å) after each atom.
Element x y z (fractional)
Be: 0.0000 0.0000 0.0000  2 Cl 2.02, 4 S 2.22
Mo: 0.5000 0.5000 0.5000  8 S 3.00, 4 Cl 3.13
S: 0.0000 0.0000 0.5000  2 Be 2.22
S: 0.0000 0.5000 0.0000  2 Be 2.22
Cl: 0.5000 0.0000 0.0000  2 Be 2.02

=====

Entry 4:
Density functional theory data (GGA-PBEsol) for an optimized crystal structure of MnTe2SI.

Values from the calculation:
Calculated volume   144.4 Å³/f.u.
Raw formation energy   3.55 eV/f.u.
ρ   5.39 g/cm3

Cell lengths 5.2839, 5.2839, 5.1735 Å; angles 90.00, 90.00, 90.00 degrees
With the nearest neighbours (Å) after each atom.
Element x y z (fractional)
I: 0.0000 0.0000 0.5000  2 S 2.59
S: 0.0000 0.0000 0.0000  2 I 2.59, 4 Te 2.64
Te: 0.0000 0.5000 0.0000  2 S 2.64
Te: 0.5000 0.0000 0.0000  2 S 2.64
Mn: 0.5000 0.5000 0.5000  8 Te 3.70, 4 I 3.74

=====

Entry 5:
Density functional theory data (GGA-PBEsol) for an optimized crystal structure of K3Li.

Values from the calculation:
Calculated volume   226.7 Å³/f.u.
E_form   104 meV per atom
ρ   0.91 g/cm3

Cell lengths 6.0975, 6.0975, 6.0975 Å; angles 90.00, 90.00, 90.00 degrees
With the nearest neighbours (Å) after each atom.
Element x y z (fractional)
K: 0.0000 0.5000 0.5000  8 K 4.31, 4 Li 4.31
K: 0.5000 0.0000 0.5000  8 K 4.31, 4 Li 4.31
K: 0.5000 0.5000 0.0000  8 K 4.31, 4 Li 4.31
Li: 0.0000 0.0000 0.0000  12 K 4.31

=====

Entry 6:
Density functional theory data (GGA-PBEsol) for an optimized crystal structure of CaIrPb2.

Values from the calculation:
Calculated volume   98.1 Å³/f.u.
E_form   -11 meV per atom
ρ   10.95 g/cm3

Cell lengths 3.3381, 3.3381, 8.8008 Å; angles 90.00, 90.00, 90.00 degrees
With the nearest neighbours (Å) after each atom.
Element x y z (fractional)
Pb: 0.0000 0.0000 0.9407  4 Ir 2.88
Pb: 0.5000 0.5000 0.2517  8 Pb 3.34-3.61, 4 Ca 3.56
Ca: 0.0000 0.0000 0.5540  4 Ir 2.94
Ir: 0.5000 0.5000 0.7537  4 Pb 2.88, 4 Ca 2.94

=====

Entry 7:
Density functional theory data (GGA-PBEsol) for an optimized crystal structure of RbBiHO2.

Values from the calculation:
Calculated volume   73.3 Å³/f.u.
ρ   7.42 g/cm3

Cell lengths 3.4917, 4.5803, 4.5803 Å; angles 90.00, 90.00, 90.00 degrees
With the nearest neighbours (Å) after each atom.
Element x y z (fractional)
O: 0.0000 0.0000 0.5000  2 H 2.29
O: 0.0000 0.5000 0.0000  2 H 2.29
H: 0.0000 0.0000 0.0000  2 Bi 1.75
Bi: 0.5000 0.0000 0.0000  2 H 1.75
Rb: 0.5000 0.5000 0.5000  8 O 2.88

=====

Entry 8:
Density functional theory data (GGA-PBEsol) for an optimized crystal structure of NiIr2W.

Values from the calculation:
Calculated volume   54.7 Å³/f.u.
E_form   -68 meV per atom
ρ   19.02 g/cm3
Distance to the lowest polymorph of the same formula   0.73 eV per formula unit

Cell lengths 2.6973, 4.6320, 4.6492 Å; angles 99.59, 106.86, 90.00 degrees
With the nearest neighbours (Å) after each atom.
Element x y z (fractional)
Ir: 0.9969 0.0045 0.9938  3 W 2.64-2.71, 4 Ni 2.67-2.69, 5 Ir 2.67-2.75
Ir: 0.2514 0.7414 0.5028  4 W 2.64-2.72, 3 Ni 2.65-2.67, 5 Ir 2.67-2.75
Ni: 0.5011 0.5028 0.0023  7 Ir 2.65-2.69, 3 W 2.68-2.69, 2 Ni 2.70
W: 0.7505 0.2513 0.5011  7 Ir 2.64-2.72, 3 Ni 2.68-2.69, 2 W 2.70

=====

Entry 9:
Density functional theory data (GGA-PBEsol) for an optimized crystal structure of Sc2ZnCd.

Values from the calculation:
Calculated volume   79.5 Å³/f.u.
E_form   -167 meV per atom
ρ   5.59 g/cm3

Cell lengths 3.5002, 3.5002, 6.4868 Å; angles 90.00, 90.00, 90.00 degrees
With the nearest neighbours (Å) after each atom.
Element x y z (fractional)
Cd: 0.5000 0.5000 0.7377  4 Zn 2.93, 5 Sc 2.98-3.01
Sc: 0.0000 0.0000 0.9934  4 Cd 2.98, 4 Sc 3.07, 2 Zn 3.23-3.26
Sc: 0.5000 0.5000 0.2730  4 Zn 2.87, 1 Cd 3.01, 4 Sc 3.07
Zn: 0.0000 0.0000 0.4959  4 Sc 2.87, 4 Cd 2.93

=====

Entry 10:
Density functional theory data (GGA-PBEsol) for an optimized crystal structure of ReBrO3.

Values from the calculation:
Calculated volume   65.3 Å³/f.u.
Raw formation energy   7.09 eV/f.u.
ρ   7.99 g/cm3

Cell lengths 4.0262, 4.0262, 4.0262 Å; angles 90.00, 90.00, 90.00 degrees
With the nearest neighbours (Å) after each atom.
Element x y z (fractional)
Re: 0.5000 0.5000 0.5000  12 O 2.85
O: 0.0000 0.5000 0.0000  2 Br 2.01
O: 0.0000 0.0000 0.5000  2 Br 2.01
O: 0.5000 0.0000 0.0000  2 Br 2.01
Br: 0.0000 0.0000 0.0000  6 O 2.01

=====

Entry 11:
Density functional theory data (GGA-PBEsol) for an optimized crystal structure of LiLa3Co.

Values from the calculation:
Calculated volume   152.2 Å³/f.u.
E_form   29 meV per atom
ρ   5.27 g/cm3
Distance to the lowest polymorph of the same formula   0.00 eV per formula unit

Cell lengths 5.3390, 5.3390, 5.3390 Å; angles 90.00, 90.00, 90.00 degrees
With the nearest neighbours (Å) after each atom.
Element x y z (fractional)
La: 0.0000 0.5000 0.0000  2 Co 2.67
La: 0.0000 0.0000 0.5000  2 Co 2.67
La: 0.5000 0.0000 0.0000  2 Co 2.67
Co: 0.0000 0.0000 0.0000  6 La 2.67
Li: 0.5000 0.5000 0.5000  12 La 3.78

=====

Entry 12:
Density functional theory data (GGA-PBEsol) for an optimized crystal structure of Zr2HBr2.

Values from the calculation:
Calculated volume   97.7 Å³/f.u.
ρ   5.84 g/cm3

Cell lengths 3.4926, 5.8271, 9.9374 Å; angles 100.99, 100.12, 90.00 degrees
With the nearest neighbours (Å) after each atom.
Element x y z (fractional)
Zr: 0.1841 0.9522 0.3682  1 H 2.14
Zr: 0.8159 0.0478 0.6318  1 H 2.14
Zr: 0.3175 0.5465 0.6351  3 H 2.07-2.08
Zr: 0.6825 0.4535 0.3649  3 H 2.07-2.08
H: 0.2182 0.6254 0.4364  4 Zr 2.07-2.14
H: 0.7818 0.3746 0.5636  4 Zr 2.07-2.14
Br: 0.0874 0.2253 0.1748  3 Zr 2.70-2.71
Br: 0.9126 0.7747 0.8252  3 Zr 2.70-2.71
Br: 0.4147 0.2752 0.8294  3 Zr 2.70-2.75
Br: 0.5853 0.7248 0.1706  3 Zr 2.70-2.75

=====

Entry 13:
Density functional theory data (GGA-PBEsol) for an optimized crystal structure of Fe3Pt.

Values from the calculation:
Calculated volume   49.4 Å³/f.u.
E_form   -24 meV per atom
ρ   12.20 g/cm3

Cell lengths 3.6686, 3.6686, 3.6686 Å; angles 90.00, 90.00, 90.00 degrees
With the nearest neighbours (Å) after each atom.
Element x y z (fractional)
Fe: 0.0000 0.0000 0.5000  8 Fe 2.59, 4 Pt 2.59
Fe: 0.0000 0.5000 0.0000  8 Fe 2.59, 4 Pt 2.59
Fe: 0.5000 0.0000 0.0000  8 Fe 2.59, 4 Pt 2.59
Pt: 0.5000 0.5000 0.5000  12 Fe 2.59

=====

Entry 14:
Density functional theory data (GGA-PBEsol) for an optimized crystal structure of Mg3ZrHg.

Values from the calculation:
Calculated volume   127.8 Å³/f.u.
E_form   501 meV per atom
ρ   4.74 g/cm3

Cell lengths 5.0373, 5.0373, 5.0373 Å; angles 90.00, 90.00, 90.00 degrees
With the nearest neighbours (Å) after each atom.
Element x y z (fractional)
Mg: 0.0000 0.5000 0.0000  2 Hg 2.52
Mg: 0.0000 0.0000 0.5000  2 Hg 2.52
Mg: 0.5000 0.0000 0.0000  2 Hg 2.52
Hg: 0.0000 0.0000 0.0000  6 Mg 2.52
Zr: 0.5000 0.5000 0.5000  12 Mg 3.56

=====

Entry 15:
Density functional theory data (GGA-PBEsol) for an optimized crystal structure of YHfSe2N.

Values from the calculation:
Calculated volume   111.5 Å³/f.u.
Raw formation energy   0.32 eV/f.u.
ρ   6.54 g/cm3

Cell lengths 3.9884, 5.2876, 5.2876 Å; angles 90.00, 90.00, 90.00 degrees
With the nearest neighbours (Å) after each atom.
Element x y z (fractional)
Y: 0.0000 0.0000 0.0000  2 N 1.99
Hf: 0.5000 0.5000 0.5000  8 Se 3.31
Se: 0.0000 0.0000 0.5000  2 Y 2.64
Se: 0.0000 0.5000 0.0000  2 Y 2.64
N: 0.5000 0.0000 0.0000  2 Y 1.99

=====

Entry 16:
Density functional theory data (GGA-PBEsol) for an optimized crystal structure of ZrVNi.

Values from the calculation:
Calculated volume   44.2 Å³/f.u.
E_form   -254 meV per atom
ρ   7.54 g/cm3

Cell lengths 4.9550, 4.9550, 8.2762 Å; angles 90.00, 90.00, 119.42 degrees
With the nearest neighbours (Å) after each atom.
Element x y z (fractional)
Zr: 0.3261 0.6739 0.3188  7 Ni 2.78-3.01, 5 V 2.92-3.00, 4 Zr 3.00-3.05
Zr: 0.6595 0.3405 0.1964  5 Ni 2.85-2.93, 7 V 2.95-3.00, 3 Zr 3.03-3.05
Zr: 0.6595 0.3405 0.8036  5 Ni 2.85-2.93, 7 V 2.95-3.00, 3 Zr 3.03-3.05
Zr: 0.3261 0.6739 0.6812  7 Ni 2.78-3.01, 5 V 2.92-3.00, 4 Zr 3.00-3.05
V: 0.8505 0.1495 0.5000  6 Ni 2.39-2.50
V: 0.6575 0.8353 0.0000  4 V 2.40-2.56, 2 Ni 2.56
V: 0.1647 0.3425 0.0000  4 V 2.40-2.56, 2 Ni 2.56
V: 0.1706 0.8294 0.0000  4 V 2.40-2.56, 2 Ni 2.58
Ni: 0.9968 0.0032 0.2544  4 V 2.39-2.58, 2 Ni 2.54
Ni: 0.9968 0.0032 0.7456  4 V 2.39-2.58, 2 Ni 2.54
Ni: 0.3497 0.1582 0.5000  2 V 2.45-2.50, 4 Ni 2.46-2.54
Ni: 0.8418 0.6503 0.5000  2 V 2.45-2.50, 4 Ni 2.46-2.54

=====

Entry 17:
Density functional theory data (GGA-PBEsol) for an optimized crystal structure of Na2TcNiSe.

Values from the calculation:
Calculated volume   131.7 Å³/f.u.
Raw formation energy   6.21 eV/f.u.
ρ   3.55 g/cm3

Cell lengths 4.2968, 5.5353, 5.5353 Å; angles 90.00, 90.00, 90.00 degrees
With the nearest neighbours (Å) after each atom.
Element x y z (fractional)
Ni: 0.5000 0.0000 0.0000  2 Tc 2.15
Tc: 0.0000 0.0000 0.0000  2 Ni 2.15
Se: 0.5000 0.5000 0.5000  8 Na 3.50, 4 Ni 3.91
Na: 0.0000 0.0000 0.5000  2 Tc 2.77
Na: 0.0000 0.5000 0.0000  2 Tc 2.77

=====

Entry 18:
Density functional theory data (GGA-PBEsol) for an optimized crystal structure of YZnCr2.

Values from the calculation:
Calculated volume   67.8 Å³/f.u.
E_form   304 meV per atom
ρ   6.33 g/cm3

Cell lengths 4.5769, 4.5769, 4.5769 Å; angles 60.00, 60.00, 60.00 degrees
With the nearest neighbours (Å) after each atom.
Element x y z (fractional)
Cr: 0.0000 0.0000 0.0000  4 Zn 2.80, 4 Cr 2.80
Cr: 0.7500 0.7500 0.7500  4 Y 2.80, 4 Cr 2.80
Y: 0.5000 0.5000 0.5000  4 Cr 2.80, 4 Zn 2.80
Zn: 0.2500 0.2500 0.2500  4 Y 2.80, 4 Cr 2.80

=====

Entry 19:
Density functional theory data (GGA-PBEsol) for an optimized crystal structure of CsSc2Au.

Values from the calculation:
Calculated volume   117.4 Å³/f.u.
E_form   83 meV per atom
ρ   5.94 g/cm3

Cell lengths 3.5761, 3.5761, 10.7966 Å; angles 80.47, 80.47, 60.00 degrees
With the nearest neighbours (Å) after each atom.
Element x y z (fractional)
Cs: 0.0000 0.0000 0.0000  2 Sc 3.50, 6 Cs 3.58
Sc: 0.8900 0.8900 0.3301  3 Au 2.74
Sc: 0.1100 0.1100 0.6699  3 Au 2.74
Au: 0.5000 0.5000 0.5000  6 Sc 2.74

=====

Entry 20:
Density functional theory data (GGA-PBEsol) for an optimized crystal structure of PrTe.

Values from the calculation:
Calculated volume   62.9 Å³/f.u.
Raw formation energy   -2.94 eV/f.u.
ρ   7.09 g/cm3

Cell lengths 4.4646, 4.4646, 4.4646 Å; angles 60.00, 60.00, 60.00 degrees
With the nearest neighbours (Å) after each atom.
Element x y z (fractional)
Pr: 0.0000 0.0000 0.0000  6 Te 3.16
Te: 0.5000 0.5000 0.5000  6 Pr 3.16

=====

| no. | uncorrected energy (eV/atom) |
| --- | --- |
| 1 | -6.3447 |
| 2 | -2.6799 |
| 3 | -4.9702 |
| 4 | -3.8829 |
| 5 | -1.2372 |
| 6 | -4.9993 |
| 7 | -3.7431 |
| 8 | -9.9709 |
| 9 | -4.1642 |
| 10 | -4.7717 |
| 11 | -5.1192 |
| 12 | -6.0270 |
| 13 | -8.4876 |
| 14 | -2.4609 |
| 15 | -6.6467 |
| 16 | -8.5476 |
| 17 | -3.5719 |
| 18 | -6.9182 |
| 19 | -4.4365 |
| 20 | -5.8241 |